1.
Compound: NbP2RuCl
Source: Alexandria via LeMat-Bulk
Functional: GGA-PBE
Structure: optimized geometry

## Properties
- Spin magnetization: 0.0 μB/f.u.
- Calculated total energy: -28.0 eV per formula unit
- Symmetry: P4/mmm
- Formation energy without anion corrections: 0.80 eV/atom

a = 4.5235 Å, b = 4.5235 Å, c = 4.6853 Å
α = 90.00°, β = 90.00°, γ = 90.00°
Closest atoms and distances in Å follow each position.
Positions (direct):
P: 0.5000 0.0000 0.0000  2 Ru 2.26
P: 0.0000 0.5000 0.0000  2 Ru 2.26
Cl: 0.0000 0.0000 0.5000  2 Ru 2.34
Nb: 0.5000 0.5000 0.5000  4 Cl 3.20, 8 P 3.26
Ru: 0.0000 0.0000 0.0000  4 P 2.26, 2 Cl 2.34

=====

2.
Compound: NbP2RuCl
Source: Alexandria via LeMat-Bulk
Functional: GGA-PBE
Structure: optimized geometry

## Properties
- Spin magnetization: 3.1 μB/f.u.
- Calculated total energy: -27.9 eV per formula unit
- Symmetry: P4/mmm
- Formation energy without anion corrections: 0.82 eV/atom

a = 4.8355 Å, b = 4.8355 Å, c = 4.7729 Å
α = 90.00°, β = 90.00°, γ = 90.00°
Closest atoms and distances in Å follow each position.
Positions (direct):
P: 0.0000 0.5000 0.0000  2 Nb 2.42
P: 0.5000 0.0000 0.0000  2 Nb 2.42
Nb: 0.0000 0.0000 0.0000  2 Cl 2.39, 4 P 2.42
Cl: 0.0000 0.0000 0.5000  2 Nb 2.39
Ru: 0.5000 0.5000 0.5000  8 P 3.40, 4 Cl 3.42

=====

3.
Compound: NbP2SCl
Source: Alexandria via LeMat-Bulk
Functional: GGA-PBE
Structure: optimized geometry

## Properties
- Spin magnetization: 1.3 μB/f.u.
- Calculated total energy: -21.0 eV per formula unit
- Symmetry: P4/mmm
- Formation energy without anion corrections: 1.18 eV/atom

a = 4.4276 Å, b = 4.6074 Å, c = 4.4276 Å
α = 90.00°, β = 90.00°, γ = 90.00°
Closest atoms and distances in Å follow each position.
Positions (direct):
P: 0.5000 0.0000 0.0000  2 Cl 2.21
P: 0.0000 0.0000 0.5000  2 Cl 2.21
Nb: 0.5000 0.5000 0.5000  4 S 3.13, 8 P 3.19
Cl: 0.0000 0.0000 0.0000  4 P 2.21, 2 S 2.30
S: 0.0000 0.5000 0.0000  2 Cl 2.30

=====

4.
Compound: NbPS2Cl
Source: Alexandria via LeMat-Bulk
Functional: GGA-PBE
Structure: optimized geometry

## Properties
- Spin magnetization: 2.6 μB/f.u.
- Calculated total energy: -24.8 eV per formula unit
- Symmetry: P4/mmm
- Formation energy without anion corrections: 0.15 eV/atom

a = 4.8308 Å, b = 4.8308 Å, c = 4.9363 Å
α = 90.00°, β = 90.00°, γ = 90.00°
Closest atoms and distances in Å follow each position.
Positions (direct):
P: 0.5000 0.5000 0.5000  4 Cl 3.42, 8 S 3.45
S: 0.5000 0.0000 0.0000  2 Nb 2.42
S: 0.0000 0.5000 0.0000  2 Nb 2.42
Nb: 0.0000 0.0000 0.0000  4 S 2.42, 2 Cl 2.47
Cl: 0.0000 0.0000 0.5000  2 Nb 2.47

=====

5.
Compound: NbPS2Cl
Source: Alexandria via LeMat-Bulk
Functional: GGA-PBE
Structure: optimized geometry

## Properties
- Spin magnetization: 0.0 μB/f.u.
- Calculated total energy: -25.4 eV per formula unit
- Symmetry: P4/mmm
- Formation energy without anion corrections: 0.05 eV/atom

a = 4.6980 Å, b = 4.6980 Å, c = 5.1204 Å
α = 90.00°, β = 90.00°, γ = 90.00°
Closest atoms and distances in Å follow each position.
Positions (direct):
S: 0.5000 0.0000 0.0000  2 Nb 2.35
S: 0.0000 0.5000 0.0000  2 Nb 2.35
P: 0.0000 0.0000 0.5000  2 Nb 2.56
Cl: 0.5000 0.5000 0.5000  4 P 3.32, 8 S 3.47
Nb: 0.0000 0.0000 0.0000  4 S 2.35, 2 P 2.56

=====

6.
Compound: NbP2SCl
Source: Alexandria via LeMat-Bulk
Functional: GGA-PBE
Structure: optimized geometry

## Properties
- Spin magnetization: 0.0 μB/f.u.
- Calculated total energy: -24.7 eV per formula unit
- Symmetry: P4/mmm
- Formation energy without anion corrections: 0.44 eV/atom

a = 4.9096 Å, b = 4.9096 Å, c = 4.6696 Å
α = 90.00°, β = 90.00°, γ = 90.00°
Closest atoms and distances in Å follow each position.
Positions (direct):
Nb: 0.0000 0.0000 0.0000  2 Cl 2.33, 4 P 2.45
Cl: 0.0000 0.0000 0.5000  2 Nb 2.33
S: 0.5000 0.5000 0.5000  8 P 3.39, 4 Cl 3.47
P: 0.0000 0.5000 0.0000  2 Nb 2.45
P: 0.5000 0.0000 0.0000  2 Nb 2.45

=====

7.
Compound: NbPS2Cl
Source: Alexandria via LeMat-Bulk
Functional: GGA-PBE
Structure: optimized geometry

## Properties
- Spin magnetization: 2.8 μB/f.u.
- Calculated total energy: -22.9 eV per formula unit
- Symmetry: P4/mmm
- Formation energy without anion corrections: 0.54 eV/atom

a = 4.6206 Å, b = 4.6206 Å, c = 4.4632 Å
α = 90.00°, β = 90.00°, γ = 90.00°
Closest atoms and distances in Å follow each position.
Positions (direct):
Cl: 0.0000 0.0000 0.5000  2 P 2.23
Nb: 0.5000 0.5000 0.5000  8 S 3.21, 4 Cl 3.27
S: 0.0000 0.5000 0.0000  2 P 2.31
S: 0.5000 0.0000 0.0000  2 P 2.31
P: 0.0000 0.0000 0.0000  2 Cl 2.23, 4 S 2.31

=====

8.
Compound: NbP2SCl
Source: Alexandria via LeMat-Bulk
Functional: GGA-PBE
Structure: optimized geometry

## Properties
- Spin magnetization: 0.0 μB/f.u.
- Calculated total energy: -25.8 eV per formula unit
- Symmetry: P4/mmm
- Formation energy without anion corrections: 0.21 eV/atom

a = 4.9031 Å, b = 4.9031 Å, c = 4.6848 Å
α = 90.00°, β = 90.00°, γ = 90.00°
Closest atoms and distances in Å follow each position.
Positions (direct):
Nb: 0.0000 0.0000 0.0000  2 S 2.34, 4 P 2.45
P: 0.5000 0.0000 0.0000  2 Nb 2.45
P: 0.0000 0.5000 0.0000  2 Nb 2.45
S: 0.0000 0.0000 0.5000  2 Nb 2.34
Cl: 0.5000 0.5000 0.5000  8 P 3.39, 4 S 3.47

=====

9.
Compound: NbP2SCl
Source: Alexandria via LeMat-Bulk
Functional: GGA-PBE
Structure: optimized geometry

## Properties
- Spin magnetization: 0.0 μB/f.u.
- Calculated total energy: -22.2 eV per formula unit
- Symmetry: P4/mmm
- Formation energy without anion corrections: 0.93 eV/atom

a = 4.5239 Å, b = 4.5239 Å, c = 4.3391 Å
α = 90.00°, β = 90.00°, γ = 90.00°
Closest atoms and distances in Å follow each position.
Positions (direct):
P: 0.5000 0.0000 0.0000  2 S 2.26
P: 0.0000 0.5000 0.0000  2 S 2.26
Nb: 0.5000 0.5000 0.5000  8 P 3.13, 4 Cl 3.20
S: 0.0000 0.0000 0.0000  2 Cl 2.17, 4 P 2.26
Cl: 0.0000 0.0000 0.5000  2 S 2.17

=====

10.
Compound: NbPS2Cl
Source: Alexandria via LeMat-Bulk
Functional: GGA-PBE
Structure: optimized geometry

## Properties
- Spin magnetization: 1.2 μB/f.u.
- Calculated total energy: -19.8 eV per formula unit
- Symmetry: P4/mmm
- Formation energy without anion corrections: 1.16 eV/atom

a = 4.5535 Å, b = 4.5535 Å, c = 4.4817 Å
α = 90.00°, β = 90.00°, γ = 90.00°
Closest atoms and distances in Å follow each position.
Positions (direct):
S: 0.5000 0.0000 0.0000  2 Cl 2.28
S: 0.0000 0.5000 0.0000  2 Cl 2.28
Nb: 0.5000 0.5000 0.5000  8 S 3.19, 4 P 3.22
Cl: 0.0000 0.0000 0.0000  2 P 2.24, 4 S 2.28
P: 0.0000 0.0000 0.5000  2 Cl 2.24